# 1
# HgPCl2

A relaxed HgPCl2 crystal (PBE, the Alexandria database).

```
HgPCl2
1.0
3.827 0.001 0.000
-2.100 3.200 0.000
0.000 0.000 8.871
P Cl Hg
1 2 1
Cartesian
0.864 1.600 6.564
0.000 0.000 8.192
0.864 1.600 2.789
0.000 0.000 4.631
```

Output
Uncorrected energy: -9.13 eV/cell
Calculated volume: 27.164 Å³/atom
E above lowest polymorph: 0.2718 eV per atom
E_form (uncorrected): 70 meV/atom

***

# 2
# Hg3P2Cl2

A relaxed Hg3P2Cl2 crystal (PBE, the Alexandria database).

```
Hg3P2Cl2
1.0
10.783 0.000 0.000
0.000 12.026 0.035
0.000 -3.963 12.260
P Hg Cl
16 24 16
Cartesian
10.411 -1.291 6.888
4.981 -1.322 5.361
3.858 2.795 11.870
10.373 3.372 6.917
8.047 9.910 1.703
5.763 4.722 6.906
2.736 -1.847 10.592
5.019 3.340 5.390
1.534 -3.218 11.853
5.802 9.385 6.935
6.925 5.268 0.425
9.249 11.281 0.443
8.127 3.897 1.685
0.410 4.691 5.378
0.372 9.354 5.407
2.656 4.166 10.610
4.539 -2.588 9.054
10.287 1.048 6.111
2.553 1.001 1.794
7.713 7.550 0.932
2.717 4.003 4.895
8.066 4.060 7.401
2.675 10.016 4.912
8.461 1.537 0.914
0.496 7.015 6.184
7.944 1.049 10.484
0.852 3.425 9.072
2.322 6.526 11.381
4.250 4.610 8.816
2.838 7.014 1.811
6.533 3.453 3.479
4.895 1.002 6.166
1.142 -1.404 8.799
5.888 7.061 6.129
8.108 -1.953 7.383
9.641 9.467 3.497
3.070 0.513 11.364
9.931 4.638 3.223
6.244 10.651 3.241
8.230 7.062 10.502
5.510 6.978 10.142
7.664 -1.869 10.141
0.119 7.098 2.171
5.273 1.085 2.154
3.422 6.959 4.328
1.970 0.945 4.311
3.119 9.932 2.155
8.813 7.117 7.985
10.664 0.965 10.124
7.686 7.025 4.126
3.097 1.038 8.169
8.510 4.144 10.158
8.489 1.011 4.109
2.294 7.051 8.187
2.273 3.919 2.137
7.361 1.104 7.967
```

Output
Uncorrected energy: -139.58 eV/cell
Calculated volume: 28.418 Å³/atom
E above lowest polymorph: 0.0000 eV per atom
E_form (uncorrected): -290 meV/atom